DFT (PBE with a Hubbard U) results for Fe2HgF after structural relaxation.

```
data_Fe2HgF
_space_group_name_H-M_alt 'I -4 2 d'
_space_group_IT_number 122
_space_group_name_Hall 'I -4 2bw'
_cell_length_a 6.622
_cell_length_b 6.622
_cell_length_c 6.504
_cell_angle_alpha 90.00
_cell_angle_beta 90.00
_cell_angle_gamma 90.00
loop_
_atom_site_label
_atom_site_type_symbol
_atom_site_fract_x
_atom_site_fract_y
_atom_site_fract_z
_atom_site_occupancy
Fe1 Fe 0.174 0.250 0.125 1
Hg1 Hg 0.000 0.000 0.500 1
F1 F 0.000 0.000 0.000 1
```

E = -56.531 eV/cell
E above lowest polymorph = 0.000 eV per atom
spin magnetization = 29.28 μB/cell